# SrCoRe2 (PBE, optimized geometry)
data_SrCoRe2
_chemical_formula_sum 'Sr4 Co4 Re8'
_cell_length_a 4.858
_cell_length_b 4.858
_cell_length_c 16.399
_cell_angle_alpha 90.00
_cell_angle_beta 90.00
_cell_angle_gamma 90.00
_symmetry_space_group_name_H-M 'I 41/a m d'
_symmetry_Int_Tables_number 141
loop_
_symmetry_equiv_pos_as_xyz
'x,y,z'
'-x,-y,-z'
'-y+1/4,x+3/4,z+1/4'
'y+1/4,-x+3/4,-z+1/4'
'-x+1/2,-y,z+1/2'
'x+1/2,y,-z+1/2'
'y+1/4,-x+1/4,z+3/4'
'-y+1/4,x+1/4,-z+3/4'
'x,-y,-z'
'-x,y,z'
'-y+1/4,-x+1/4,-z+3/4'
'y+1/4,x+1/4,z+3/4'
'-x+1/2,y,-z+1/2'
'x+1/2,-y,z+1/2'
'y+1/4,x+3/4,-z+1/4'
'-y+1/4,-x+3/4,z+1/4'
'x+1/2,y+1/2,z+1/2'
'-x+1/2,-y+1/2,-z+1/2'
'-y+3/4,x+1/4,z+3/4'
'y+3/4,-x+1/4,-z+3/4'
'-x,-y+1/2,z'
'x,y+1/2,-z'
'y+3/4,-x+3/4,z+1/4'
'-y+3/4,x+3/4,-z+1/4'
'x+1/2,-y+1/2,-z+1/2'
'-x+1/2,y+1/2,z+1/2'
'-y+3/4,-x+3/4,-z+1/4'
'y+3/4,x+3/4,z+1/4'
'-x,y+1/2,-z'
'x,-y+1/2,z'
'y+3/4,x+1/4,-z+3/4'
'-y+3/4,-x+1/4,z+3/4'
loop_
_atom_site_label
_atom_site_type_symbol
_atom_site_fract_x
_atom_site_fract_y
_atom_site_fract_z
Sr1 Sr 0.000 0.250 0.375
Co1 Co 0.000 0.250 0.875
Re1 Re 0.000 0.000 0.000
# Calculated total energy: -7.34 eV/atom
# Relative energy among the computed polymorphs: 2.15 eV/f.u.

***

# SrCo2Re (PBE, optimized geometry)
data_SrCo2Re
_chemical_formula_sum 'Sr2 Co4 Re2'
_cell_length_a 3.819
_cell_length_b 3.819
_cell_length_c 9.020
_cell_angle_alpha 90.00
_cell_angle_beta 90.00
_cell_angle_gamma 90.00
_symmetry_space_group_name_H-M 'I -4 m 2'
_symmetry_Int_Tables_number 119
_symmetry_space_group_name_Hall 'I -4 -2'
loop_
_atom_site_label
_atom_site_type_symbol
_atom_site_fract_x
_atom_site_fract_y
_atom_site_fract_z
Sr1 Sr 0.000 0.000 0.000
Co1 Co 0.000 0.000 0.500
Co2 Co 0.000 0.500 0.750
Re1 Re 0.000 0.500 0.250
# Calculated total energy: -5.89 eV/atom
# Relative energy among the computed polymorphs: 3.66 eV/f.u.

***

# SrCoRe2 (PBE, optimized geometry)
data_SrCoRe2
_chemical_formula_sum 'Sr2 Co2 Re4'
_cell_length_a 3.135
_cell_length_b 5.260
_cell_length_c 9.208
_cell_angle_alpha 90.00
_cell_angle_beta 90.00
_cell_angle_gamma 90.00
_symmetry_space_group_name_H-M 'I m m 2'
_symmetry_Int_Tables_number 44
loop_
_symmetry_equiv_pos_as_xyz
'x,y,z'
'-x,-y,z'
'-x,y,z'
'x,-y,z'
'x+1/2,y+1/2,z+1/2'
'-x+1/2,-y+1/2,z+1/2'
'-x+1/2,y+1/2,z+1/2'
'x+1/2,-y+1/2,z+1/2'
loop_
_atom_site_label
_atom_site_type_symbol
_atom_site_fract_x
_atom_site_fract_y
_atom_site_fract_z
Sr1 Sr 0.000 0.000 0.000
Co1 Co 0.000 0.500 0.785
Re1 Re 0.000 0.000 0.493
Re2 Re 0.000 0.500 0.197
# Calculated total energy: -7.43 eV/atom
# Relative energy among the computed polymorphs: 1.80 eV/f.u.

***

# SrCoRe (PBE, optimized geometry)
data_SrCoRe
_chemical_formula_sum 'Sr4 Co4 Re4'
_cell_length_a 6.304
_cell_length_b 6.304
_cell_length_c 6.304
_cell_angle_alpha 90.00
_cell_angle_beta 90.00
_cell_angle_gamma 90.00
_symmetry_space_group_name_H-M 'F -4 3 m'
_symmetry_Int_Tables_number 216
_symmetry_space_group_name_Hall 'F -4 2 3'
loop_
_atom_site_label
_atom_site_type_symbol
_atom_site_fract_x
_atom_site_fract_y
_atom_site_fract_z
Sr1 Sr 0.000 0.000 0.000
Co1 Co 0.250 0.250 0.250
Re1 Re 0.000 0.000 0.500
# Calculated total energy: -5.71 eV/atom
# Relative energy among the computed polymorphs: 3.25 eV/f.u.

***

# SrCoRe (PBE, optimized geometry)
data_SrCoRe
_chemical_formula_sum 'Sr4 Co4 Re4'
_cell_length_a 4.215
_cell_length_b 11.366
_cell_length_c 5.081
_cell_angle_alpha 90.00
_cell_angle_beta 90.00
_cell_angle_gamma 90.00
_symmetry_space_group_name_H-M 'C m c m'
_symmetry_Int_Tables_number 63
_symmetry_space_group_name_Hall '-C 2c 2'
loop_
_atom_site_label
_atom_site_type_symbol
_atom_site_fract_x
_atom_site_fract_y
_atom_site_fract_z
Sr1 Sr 0.000 0.211 0.250
Co1 Co 0.000 0.045 0.750
Re1 Re 0.000 0.500 0.000
# Calculated total energy: -6.77 eV/atom
# Relative energy among the computed polymorphs: 0.07 eV/f.u.

***

# SrCoRe (PBE, optimized geometry)
data_SrCoRe
_chemical_formula_sum 'Sr4 Co4 Re4'
_cell_length_a 6.192
_cell_length_b 5.661
_cell_length_c 8.266
_cell_angle_alpha 90.00
_cell_angle_beta 91.76
_cell_angle_gamma 90.00
_symmetry_space_group_name_H-M 'C 1 2/m 1'
_symmetry_Int_Tables_number 12
loop_
_symmetry_equiv_pos_as_xyz
'x,y,z'
'-x,-y,-z'
'-x,y,-z'
'x,-y,z'
'x+1/2,y+1/2,z'
'-x+1/2,-y+1/2,-z'
'-x+1/2,y+1/2,-z'
'x+1/2,-y+1/2,z'
loop_
_atom_site_label
_atom_site_type_symbol
_atom_site_fract_x
_atom_site_fract_y
_atom_site_fract_z
Sr1 Sr 0.250 0.000 0.184
Co1 Co 0.217 0.000 0.639
Re1 Re 0.000 0.275 0.500
# Calculated total energy: -6.80 eV/atom
# Relative energy among the computed polymorphs: 0.00 eV/f.u.

***

# SrCo2Re (PBE, optimized geometry)
data_SrCo2Re
_chemical_formula_sum 'Sr2 Co4 Re2'
_cell_length_a 3.833
_cell_length_b 5.209
_cell_length_c 7.241
_cell_angle_alpha 90.00
_cell_angle_beta 90.00
_cell_angle_gamma 90.00
_symmetry_space_group_name_H-M 'I m m m'
_symmetry_Int_Tables_number 71
_symmetry_space_group_name_Hall '-I 2 2'
loop_
_atom_site_label
_atom_site_type_symbol
_atom_site_fract_x
_atom_site_fract_y
_atom_site_fract_z
Sr1 Sr 0.000 0.000 0.000
Co1 Co 0.000 0.500 0.194
Re1 Re 0.000 0.000 0.500
# Calculated total energy: -6.18 eV/atom
# Relative energy among the computed polymorphs: 2.51 eV/f.u.

***

# SrCoRe (PBE, optimized geometry)
data_SrCoRe
_chemical_formula_sum 'Sr1 Co1 Re1'
_cell_length_a 4.8277
_cell_length_b 4.8277
_cell_length_c 2.7518
_cell_angle_alpha 90.00
_cell_angle_beta 90.00
_cell_angle_gamma 120.00
_symmetry_space_group_name_H-M 'P 3 m 1'
_symmetry_Int_Tables_number 156
loop_
_symmetry_equiv_pos_as_xyz
'x,y,z'
'-y,x-y,z'
'-x+y,-x,z'
'-y,-x,z'
'-x+y,y,z'
'x,x-y,z'
loop_
_atom_site_label
_atom_site_type_symbol
_atom_site_fract_x
_atom_site_fract_y
_atom_site_fract_z
Sr1 Sr 0.0000 0.0000 0.0000
Co1 Co 0.6667 0.3333 0.4968
Re1 Re 0.3333 0.6667 0.5023
# Calculated total energy: -5.90 eV/atom
# Relative energy among the computed polymorphs: 2.71 eV/f.u.

***

# SrCoRe (PBE, optimized geometry)
data_SrCoRe
_chemical_formula_sum 'Sr2 Co2 Re2'
_cell_length_a 3.9471
_cell_length_b 3.9471
_cell_length_c 10.0514
_cell_angle_alpha 90.00
_cell_angle_beta 90.00
_cell_angle_gamma 120.00
_symmetry_space_group_name_H-M 'P 63/m m c'
_symmetry_Int_Tables_number 194
_symmetry_space_group_name_Hall '-P 6c 2c'
loop_
_atom_site_label
_atom_site_type_symbol
_atom_site_fract_x
_atom_site_fract_y
_atom_site_fract_z
Sr1 Sr 0.0000 0.0000 0.0000
Co1 Co 0.3333 0.6667 0.2500
Re1 Re 0.3333 0.6667 0.7500
# Calculated total energy: -6.55 eV/atom
# Relative energy among the computed polymorphs: 0.74 eV/f.u.

***

# Sr2TiCoRe (PBE, optimized geometry)
data_Sr2TiCoRe
_chemical_formula_sum 'Sr2 Ti1 Co1 Re1'
_cell_length_a 5.981
_cell_length_b 5.981
_cell_length_c 4.581
_cell_angle_alpha 90.00
_cell_angle_beta 90.00
_cell_angle_gamma 90.00
_symmetry_space_group_name_H-M 'P 4/m m m'
_symmetry_Int_Tables_number 123
_symmetry_space_group_name_Hall '-P 4 2'
loop_
_atom_site_label
_atom_site_type_symbol
_atom_site_fract_x
_atom_site_fract_y
_atom_site_fract_z
Sr1 Sr 0.000 0.500 0.000
Ti1 Ti 0.000 0.000 0.500
Co1 Co 0.500 0.500 0.500
Re1 Re 0.000 0.000 0.000
# Calculated total energy: -4.96 eV/atom

***

# SrZnCoRe2 (PBE, optimized geometry)
data_SrZnCoRe2
_chemical_formula_sum 'Sr1 Zn1 Co1 Re2'
_cell_length_a 4.928
_cell_length_b 4.928
_cell_length_c 4.585
_cell_angle_alpha 90.00
_cell_angle_beta 90.00
_cell_angle_gamma 90.00
_symmetry_space_group_name_H-M 'P 4/m m m'
_symmetry_Int_Tables_number 123
_symmetry_space_group_name_Hall '-P 4 2'
loop_
_atom_site_label
_atom_site_type_symbol
_atom_site_fract_x
_atom_site_fract_y
_atom_site_fract_z
Sr1 Sr 0.000 0.000 0.000
Zn1 Zn 0.500 0.500 0.500
Co1 Co 0.000 0.000 0.500
Re1 Re 0.000 0.500 0.000
# Calculated total energy: -3.78 eV/atom

***

# Ta2CoRe (PBE, optimized geometry)
data_Ta2CoRe
_chemical_formula_sum 'Ta4 Co2 Re2'
_cell_length_a 3.307
_cell_length_b 4.563
_cell_length_c 8.226
_cell_angle_alpha 90.00
_cell_angle_beta 90.00
_cell_angle_gamma 90.00
_symmetry_space_group_name_H-M 'I m m m'
_symmetry_Int_Tables_number 71
_symmetry_space_group_name_Hall '-I 2 2'
loop_
_atom_site_label
_atom_site_type_symbol
_atom_site_fract_x
_atom_site_fract_y
_atom_site_fract_z
Ta1 Ta 0.000 0.000 0.244
Co1 Co 0.000 0.500 0.500
Re1 Re 0.000 0.500 0.000
# Calculated total energy: -10.84 eV/atom